# 1
DFT (PBE) results for crystalline AcZnTcH6 at its relaxed geometry.

**Electronic total energy**: -4.231 eV per atom
**V**: 92.2 Å³ per cell
**Magnetic moment**: 0.0 μB per formula unit

a b c (Å): 4.770 4.770 4.677
angles (deg): 90.00 90.00 60.00
Fractional positions:
H: 0.487 0.487 0.758
H: 0.487 0.025 0.242
Zn: 0.667 0.667 0.500
Ac: 0.000 0.000 0.000
H: 0.025 0.487 0.242
H: 0.487 0.487 0.242
H: 0.025 0.487 0.758
Tc: 0.333 0.333 0.500
H: 0.487 0.025 0.758

---

# 2
DFT (PBE) results for crystalline LaY12Tm3 at its relaxed geometry.

**Energy relative to the elements**: 0.030 eV per atom
**V**: 514.6 Å³ per cell
**Magnetic moment**: 0.0 μB per formula unit

a b c (Å): 5.044 5.044 20.227
angles (deg): 90.00 90.00 90.00
Fractional positions:
Y: 0.500 0.500 0.747
Y: 0.000 0.500 0.624
Tm: 0.000 0.000 0.252
Y: 0.000 0.500 0.871
Y: 0.500 0.500 0.500
Y: 0.500 0.000 0.129
Y: 0.500 0.500 0.253
Tm: 0.000 0.000 0.500
Y: 0.000 0.500 0.129
Y: 0.500 0.000 0.871
Y: 0.500 0.000 0.624
Tm: 0.000 0.000 0.748
Y: 0.000 0.500 0.376
La: 0.000 0.000 0.000
Y: 0.500 0.500 0.000
Y: 0.500 0.000 0.376

---

# 3
DFT (PBE) results for crystalline PmSmBeRh at its relaxed geometry.

**Energy relative to the elements**: -0.248 eV per atom
**V**: 87.0 Å³ per cell
**Magnetic moment**: 0.0 μB per formula unit

a b c (Å): 4.973 4.973 4.973
angles (deg): 60.00 60.00 60.00
Fractional positions:
Pm: 0.250 0.250 0.250
Sm: 0.750 0.750 0.750
Be: 0.500 0.500 0.500
Rh: 0.000 0.000 0.000

---

# 4
DFT (PBE) results for crystalline Ce2AlAs4 at its relaxed geometry.

**Energy relative to the elements**: -0.871 eV per atom
**V**: 161.7 Å³ per cell
**Magnetic moment**: 1.7 μB per formula unit

a b c (Å): 4.003 4.003 10.088
angles (deg): 90.00 90.00 90.00
Fractional positions:
As: 0.000 0.000 0.500
As: 0.500 0.500 0.500
Ce: 0.000 0.500 0.272
As: 0.000 0.500 0.847
Al: 0.500 0.500 0.000
As: 0.500 0.000 0.153
Ce: 0.500 0.000 0.728

---

# 5
DFT (PBE) results for crystalline Nd2TiBr at its relaxed geometry.

**Uncorrected formation energy**: -68.0 meV/atom
**V**: 112.2 Å³ per cell
**Magnetic moment**: 1.9 μB per formula unit

a b c (Å): 3.440 3.440 11.127
angles (deg): 81.11 81.11 60.00
Fractional positions:
Nd: 0.908 0.908 0.275
Br: 0.500 0.500 0.500
Ti: 0.000 0.000 0.000
Nd: 0.092 0.092 0.725

---

# 6
DFT (PBE) results for crystalline TbSmHo2Tm5 at its relaxed geometry.

**Energy relative to the elements**: 0.162 eV per atom
**V**: 570.6 Å³ per cell
**Magnetic moment**: 0.0 μB per formula unit

a b c (Å): 5.545 10.179 10.507
angles (deg): 90.00 90.00 105.80
Fractional positions:
Ho: 0.110 0.220 0.736
Tm: 0.282 0.564 0.309
Tm: 0.982 0.964 0.526
Ho: 0.890 0.780 0.236
Tm: 0.610 0.220 0.522
Tm: 0.718 0.436 0.809
Tm: 0.018 0.036 0.026
Sm: 0.416 0.833 0.454
Tm: 0.479 0.957 0.736
Ho: 0.887 0.774 0.819
Tm: 0.521 0.043 0.236
Tm: 0.701 0.401 0.210
Sm: 0.584 0.167 0.954
Tb: 0.201 0.402 0.012
Tb: 0.799 0.598 0.512
Tm: 0.390 0.780 0.022
Ho: 0.113 0.226 0.319
Tm: 0.299 0.599 0.710

---

# 7
DFT (PBE) results for crystalline CaTl4 at its relaxed geometry.

**Energy relative to the elements**: -0.151 eV per atom
**V**: 299.7 Å³ per cell
**Magnetic moment**: 0.0 μB per formula unit

a b c (Å): 5.867 6.058 9.140
angles (deg): 112.71 90.00 90.00
Fractional positions:
Tl: 0.500 0.796 0.103
Tl: 0.000 0.204 0.397
Tl: 0.500 0.601 0.702
Ca: 0.500 0.000 0.500
Tl: 0.000 0.399 0.798
Tl: 0.500 0.399 0.298
Ca: 0.000 0.000 0.000
Tl: 0.000 0.796 0.603
Tl: 0.500 0.204 0.897
Tl: 0.000 0.601 0.202

---

# 8
DFT (PBE) results for crystalline CrAsPt2 at its relaxed geometry.

**Energy relative to the elements**: 0.023 eV per atom
**V**: 60.1 Å³ per cell
**Magnetic moment**: 1.7 μB per formula unit

a b c (Å): 8.676 8.676 8.676
angles (deg): 18.93 18.93 18.93
Fractional positions:
Cr: 0.247 0.247 0.247
Pt: 0.993 0.993 0.993
Pt: 0.754 0.754 0.754
As: 0.506 0.506 0.506

---

# 9
DFT (PBE) results for crystalline TaNb6W8 at its relaxed geometry.

**Energy relative to the elements**: 0.261 eV per atom
**V**: 270.2 Å³ per cell
**Magnetic moment**: 0.0 μB per formula unit

a b c (Å): 7.363 7.363 7.154
angles (deg): 59.03 59.03 60.00
Fractional positions:
W: 0.247 0.247 0.258
Nb: 0.866 0.616 0.137
W: 0.376 0.126 0.619
W: 0.624 0.874 0.381
Nb: 0.384 0.620 0.863
Nb: 0.134 0.384 0.863
Nb: 0.380 0.866 0.137
Ta: 0.000 0.000 0.000
W: 0.753 0.753 0.742
Nb: 0.620 0.134 0.863
W: 0.126 0.880 0.619
W: 0.874 0.120 0.381
W: 0.880 0.376 0.619
W: 0.120 0.624 0.381
Nb: 0.616 0.380 0.137

---

# 10
DFT (PBE) results for crystalline Rb2MnCdBr6 at its relaxed geometry.

**Uncorrected formation energy**: -1183.7 meV/atom
**V**: 646.8 Å³ per cell
**Magnetic moment**: 5.0 μB per formula unit

a b c (Å): 7.652 7.726 10.940
angles (deg): 90.00 90.03 90.00
Fractional positions:
Br: 0.218 0.206 0.472
Rb: 0.510 0.544 0.750
Cd: 0.500 0.000 0.000
Mn: 0.000 0.500 0.000
Br: 0.054 0.499 0.756
Br: 0.294 0.717 0.473
Rb: 0.490 0.456 0.250
Br: 0.794 0.783 0.973
Rb: 0.990 0.044 0.750
Br: 0.782 0.794 0.528
Mn: 0.500 0.000 0.500
Cd: 0.000 0.500 0.500
Br: 0.706 0.283 0.527
Br: 0.946 0.501 0.244
Br: 0.718 0.294 0.972
Br: 0.282 0.706 0.028
Br: 0.554 0.001 0.256
Rb: 0.010 0.956 0.250
Br: 0.206 0.217 0.027
Br: 0.446 0.999 0.744

---

# 11
DFT (PBE) results for crystalline Pr2Er4Sc at its relaxed geometry.

**Energy relative to the elements**: 0.191 eV per atom
**V**: 449.8 Å³ per cell
**Magnetic moment**: 0.0 μB per formula unit

a b c (Å): 6.860 6.860 11.239
angles (deg): 90.00 90.00 121.74
Fractional positions:
Er: 0.222 0.222 0.000
Er: 0.778 0.778 0.000
Pr: 0.822 0.178 0.750
Er: 0.723 0.276 0.043
Pr: 0.531 0.469 0.750
Sc: 0.101 0.899 0.750
Er: 0.222 0.222 0.500
Er: 0.778 0.778 0.500
Er: 0.277 0.724 0.957
Pr: 0.178 0.822 0.250
Er: 0.276 0.723 0.543
Sc: 0.899 0.101 0.250
Er: 0.724 0.277 0.457
Pr: 0.469 0.531 0.250

---

# 12
DFT (PBE) results for crystalline LiAl4 at its relaxed geometry.

**Energy relative to the elements**: 0.518 eV per atom
**V**: 91.5 Å³ per cell
**Magnetic moment**: 0.0 μB per formula unit

a b c (Å): 4.505 4.505 4.505
angles (deg): 90.00 90.00 90.00
Fractional positions:
Al: 0.000 0.000 0.000
Al: 0.500 0.000 0.500
Al: 0.500 0.500 0.000
Li: 0.500 0.500 0.500
Al: 0.000 0.500 0.500

---

# 13
DFT (PBE) results for crystalline RbBa at its relaxed geometry.

**Energy relative to the elements**: 0.302 eV per atom
**V**: 2473.1 Å³ per cell
**Magnetic moment**: 0.5 μB per formula unit

a b c (Å): 11.732 12.917 16.319
angles (deg): 90.00 90.00 90.00
Fractional positions:
Rb: 0.919 0.750 0.750
Rb: 0.669 0.000 0.500
Ba: 0.250 0.079 0.250
Ba: 0.500 0.329 0.500
Ba: 0.250 0.421 0.250
Ba: 0.750 0.421 0.750
Ba: 0.500 0.671 0.500
Ba: 0.000 0.829 0.500
Ba: 0.250 0.579 0.750
Ba: 0.500 0.171 0.000
Ba: 0.000 0.171 0.500
Rb: 0.831 0.000 0.000
Rb: 0.419 0.250 0.750
Rb: 0.331 0.000 0.500
Rb: 0.419 0.750 0.250
Ba: 0.000 0.671 0.000
Ba: 0.750 0.579 0.250
Rb: 0.919 0.250 0.250
Rb: 0.581 0.750 0.750
Ba: 0.750 0.079 0.750
Rb: 0.081 0.750 0.250
Rb: 0.831 0.500 0.500
Ba: 0.750 0.921 0.250
Ba: 0.250 0.921 0.750
Rb: 0.169 0.500 0.500
Rb: 0.331 0.500 0.000
Rb: 0.581 0.250 0.250
Rb: 0.169 0.000 0.000
Rb: 0.081 0.250 0.750
Ba: 0.500 0.829 0.000
Ba: 0.000 0.329 0.000
Rb: 0.669 0.500 0.000

---

# 14
DFT (PBE) results for crystalline GdErMg at its relaxed geometry.

**Energy relative to the elements**: -0.049 eV per atom
**V**: 86.9 Å³ per cell
**Magnetic moment**: 7.9 μB per formula unit

a b c (Å): 3.637 3.637 7.056
angles (deg): 104.93 104.93 90.00
Fractional positions:
Gd: 0.005 0.005 0.010
Er: 0.326 0.326 0.652
Mg: 0.669 0.669 0.339

---

# 15
DFT (PBE) results for crystalline Zn3RhI at its relaxed geometry.

**Uncorrected formation energy**: 152.6 meV/atom
**V**: 118.0 Å³ per cell
**Magnetic moment**: 0.0 μB per formula unit

a b c (Å): 4.905 4.905 4.905
angles (deg): 90.00 90.00 90.00
Fractional positions:
Zn: 0.500 0.000 0.000
Zn: 0.000 0.000 0.500
Zn: 0.000 0.500 0.000
Rh: 0.000 0.000 0.000
I: 0.500 0.500 0.500

---

# 16
DFT (PBE) results for crystalline Ba2AcSnS4 at its relaxed geometry.

**Uncorrected formation energy**: -1608.9 meV/atom
**V**: 480.8 Å³ per cell
**Magnetic moment**: 0.0 μB per formula unit

a b c (Å): 8.792 8.792 8.752
angles (deg): 119.85 119.85 89.94
Fractional positions:
Ba: 0.000 0.000 0.500
S: 0.245 0.730 0.487
S: 0.770 0.255 0.013
Ba: 0.500 0.500 0.000
Sn: 0.500 0.500 0.500
Ba: 0.500 0.000 0.000
S: 0.242 0.257 0.015
S: 0.755 0.270 0.513
Ac: 0.000 0.500 0.000
S: 0.758 0.743 0.985
S: 0.230 0.745 0.987
Ba: 0.500 0.000 0.500
S: 0.243 0.258 0.485
Sn: 0.000 0.000 0.000
S: 0.757 0.742 0.515
Ac: 0.000 0.500 0.500

---

# 17
DFT (PBE) results for crystalline Ti7Nb2Ga2 at its relaxed geometry.

**Energy relative to the elements**: -0.143 eV per atom
**V**: 191.4 Å³ per cell
**Magnetic moment**: 0.0 μB per formula unit

a b c (Å): 7.436 5.197 5.197
angles (deg): 93.79 78.31 78.31
Fractional positions:
Ti: 0.194 0.453 0.082
Ga: 0.500 0.314 0.686
Ga: 0.500 0.686 0.314
Ti: 0.589 0.145 0.145
Ti: 0.411 0.855 0.855
Ti: 0.000 0.000 0.000
Ti: 0.806 0.918 0.547
Nb: 0.162 0.600 0.600
Ti: 0.194 0.082 0.453
Nb: 0.838 0.400 0.400
Ti: 0.806 0.547 0.918

---

# 18
DFT (PBE) results for crystalline Pr15Nd4Cd at its relaxed geometry.

**Energy relative to the elements**: -0.008 eV per atom
**V**: 704.0 Å³ per cell
**Magnetic moment**: 0.0 μB per formula unit

a b c (Å): 5.188 5.188 26.153
angles (deg): 90.00 90.00 90.00
Fractional positions:
Pr: 0.500 0.500 0.000
Pr: 0.500 0.500 0.195
Pr: 0.500 0.000 0.500
Nd: 0.000 0.000 0.804
Pr: 0.500 0.000 0.096
Pr: 0.500 0.000 0.904
Nd: 0.000 0.000 0.399
Pr: 0.500 0.500 0.398
Pr: 0.500 0.000 0.297
Pr: 0.500 0.500 0.602
Cd: 0.000 0.000 0.000
Pr: 0.000 0.500 0.904
Nd: 0.000 0.000 0.601
Pr: 0.500 0.500 0.805
Nd: 0.000 0.000 0.196
Pr: 0.000 0.500 0.297
Pr: 0.500 0.000 0.703
Pr: 0.000 0.500 0.703
Pr: 0.000 0.500 0.096
Pr: 0.000 0.500 0.500

---

# 19
DFT (PBE) results for crystalline CaAc12Co7 at its relaxed geometry.

**Energy relative to the elements**: 0.022 eV per atom
**V**: 653.5 Å³ per cell
**Magnetic moment**: 0.0 μB per formula unit

a b c (Å): 9.259 9.259 9.259
angles (deg): 107.41 107.41 107.41
Fractional positions:
Ac: 0.156 0.374 0.449
Ac: 0.374 0.449 0.156
Ac: 0.449 0.156 0.374
Ac: 0.222 0.076 0.689
Co: 0.975 0.637 0.874
Co: 0.025 0.363 0.126
Ac: 0.626 0.551 0.844
Co: 0.874 0.975 0.637
Ac: 0.924 0.311 0.778
Ac: 0.844 0.626 0.551
Ac: 0.311 0.778 0.924
Ca: 0.000 0.000 0.000
Ac: 0.778 0.924 0.311
Ac: 0.689 0.222 0.076
Co: 0.500 0.500 0.500
Co: 0.637 0.874 0.975
Co: 0.126 0.025 0.363
Ac: 0.551 0.844 0.626
Co: 0.363 0.126 0.025
Ac: 0.076 0.689 0.222

---

# 20
DFT (PBE) results for crystalline K3TiI7 at its relaxed geometry.

**Uncorrected formation energy**: -1071.9 meV/atom
**V**: 498.7 Å³ per cell
**Magnetic moment**: 0.0 μB per formula unit

a b c (Å): 7.827 7.827 8.406
angles (deg): 81.55 81.55 96.72
Fractional positions:
I: 0.851 0.851 0.755
K: 0.224 0.794 0.482
I: 0.341 0.007 0.807
I: 0.535 0.535 0.497
K: 0.794 0.224 0.482
Ti: 0.009 0.009 0.983
I: 0.173 0.173 0.213
I: 0.023 0.687 0.153
K: 0.482 0.482 0.918
I: 0.007 0.341 0.807
I: 0.687 0.023 0.153